Record 1
DFT (GGA-PBE) results for BaFeTc2 after structural relaxation.

Structure (CIF):
```
data_BaFeTc2
_symmetry_space_group_name_H-M 'C 1 2/m 1'
_symmetry_Int_Tables_number 12
_cell_length_a 5.6064
_cell_length_b 9.5956
_cell_length_c 2.9935
_cell_angle_alpha 90.00
_cell_angle_beta 114.32
_cell_angle_gamma 90.00
loop_
_symmetry_equiv_pos_as_xyz
'x,y,z'
'-x,-y,-z'
'-x,y,-z'
'x,-y,z'
'x+1/2,y+1/2,z'
'-x+1/2,-y+1/2,-z'
'-x+1/2,y+1/2,-z'
'x+1/2,-y+1/2,z'
loop_
_atom_site_label
_atom_site_type_symbol
_atom_site_fract_x
_atom_site_fract_y
_atom_site_fract_z
_atom_site_occupancy
Ba1 Ba 0.0000 0.0000 0.0000 1
Fe1 Fe 0.0000 0.5000 0.0000 1
Tc1 Tc 0.2500 0.2500 0.5000 1
```

Computed properties:
D(E_F) in states/eV/f.u.: 5.61
Energy above the lowest structure with this stoichiometry in meV per atom: 757
VASP energy in eV per atom: -6.507

---

Record 2
DFT (GGA-PBE) results for Ba2FeTc after structural relaxation.

Structure (CIF):
```
data_Ba2FeTc
_symmetry_space_group_name_H-M 'R -3 m'
_symmetry_Int_Tables_number 166
_symmetry_space_group_name_Hall '-R 3 2"'
_cell_length_a 3.6378
_cell_length_b 3.6378
_cell_length_c 29.2594
_cell_angle_alpha 90.00
_cell_angle_beta 90.00
_cell_angle_gamma 120.00
loop_
_atom_site_label
_atom_site_type_symbol
_atom_site_fract_x
_atom_site_fract_y
_atom_site_fract_z
_atom_site_occupancy
Ba1 Ba 0.0000 0.0000 0.2461 1
Fe1 Fe 0.0000 0.0000 0.0000 1
Tc1 Tc 0.0000 0.0000 0.5000 1
```

Computed properties:
D(E_F) in states/eV/f.u.: 5.23
Energy above the lowest structure with this stoichiometry in meV per atom: 940
VASP energy in eV per atom: -4.345

---

Record 3
DFT (GGA-PBE) results for Ba2FeTc after structural relaxation.

Structure (CIF):
```
data_Ba2FeTc
_symmetry_space_group_name_H-M 'C 1 2/m 1'
_symmetry_Int_Tables_number 12
_cell_length_a 9.3896
_cell_length_b 3.3788
_cell_length_c 7.5262
_cell_angle_alpha 90.00
_cell_angle_beta 96.99
_cell_angle_gamma 90.00
loop_
_symmetry_equiv_pos_as_xyz
'x,y,z'
'-x,-y,-z'
'-x,y,-z'
'x,-y,z'
'x+1/2,y+1/2,z'
'-x+1/2,-y+1/2,-z'
'-x+1/2,y+1/2,-z'
'x+1/2,-y+1/2,z'
loop_
_atom_site_label
_atom_site_type_symbol
_atom_site_fract_x
_atom_site_fract_y
_atom_site_fract_z
_atom_site_occupancy
Ba1 Ba 0.2496 0.0000 0.2462 1
Fe1 Fe 0.0000 0.0000 0.5000 1
Tc1 Tc 0.0000 0.5000 0.0000 1
```

Computed properties:
D(E_F) in states/eV/f.u.: 5.43
Energy above the lowest structure with this stoichiometry in meV per atom: 911
VASP energy in eV per atom: -4.375

---

Record 4
DFT (GGA-PBE) results for BaFeTc2 after structural relaxation.

Structure (CIF):
```
data_BaFeTc2
_symmetry_space_group_name_H-M 'I m m m'
_symmetry_Int_Tables_number 71
_symmetry_space_group_name_Hall '-I 2 2'
_cell_length_a 2.9181
_cell_length_b 5.0571
_cell_length_c 10.1098
_cell_angle_alpha 90.00
_cell_angle_beta 90.00
_cell_angle_gamma 90.00
loop_
_atom_site_label
_atom_site_type_symbol
_atom_site_fract_x
_atom_site_fract_y
_atom_site_fract_z
_atom_site_occupancy
Ba1 Ba 0.0000 0.0000 0.0000 1
Fe1 Fe 0.0000 0.0000 0.5000 1
Tc1 Tc 0.0000 0.5000 0.2099 1
```

Computed properties:
D(E_F) in states/eV/f.u.: 4.33
Energy above the lowest structure with this stoichiometry in meV per atom: 503
VASP energy in eV per atom: -6.762

---

Record 5
DFT (GGA-PBE) results for BaFeTc2 after structural relaxation.

Structure (CIF):
```
data_BaFeTc2
_symmetry_space_group_name_H-M 'F m -3 m'
_symmetry_Int_Tables_number 225
_symmetry_space_group_name_Hall '-F 4 2 3'
_cell_length_a 6.5304
_cell_length_b 6.5304
_cell_length_c 6.5304
_cell_angle_alpha 90.00
_cell_angle_beta 90.00
_cell_angle_gamma 90.00
loop_
_atom_site_label
_atom_site_type_symbol
_atom_site_fract_x
_atom_site_fract_y
_atom_site_fract_z
_atom_site_occupancy
Ba1 Ba 0.0000 0.0000 0.0000 1
Fe1 Fe 0.0000 0.0000 0.5000 1
Tc1 Tc 0.2500 0.2500 0.2500 1
```

Computed properties:
D(E_F) in states/eV/f.u.: 9.89
Energy above the lowest structure with this stoichiometry in meV per atom: 910
VASP energy in eV per atom: -6.354

---

Record 6
DFT (GGA-PBE) results for Ba2FeTc after structural relaxation.

Structure (CIF):
```
data_Ba2FeTc
_symmetry_space_group_name_H-M 'A m m 2'
_symmetry_Int_Tables_number 38
_cell_length_a 3.8326
_cell_length_b 5.1422
_cell_length_c 12.3761
_cell_angle_alpha 90.00
_cell_angle_beta 90.00
_cell_angle_gamma 90.00
loop_
_symmetry_equiv_pos_as_xyz
'x,y,z'
'-x,-y,z'
'-x,y,z'
'x,-y,z'
'x,y+1/2,z+1/2'
'-x,-y+1/2,z+1/2'
'-x,y+1/2,z+1/2'
'x,-y+1/2,z+1/2'
loop_
_atom_site_label
_atom_site_type_symbol
_atom_site_fract_x
_atom_site_fract_y
_atom_site_fract_z
_atom_site_occupancy
Ba1 Ba 0.0000 0.0000 0.0000 1
Ba2 Ba 0.5000 0.0000 0.2796 1
Fe1 Fe 0.0000 0.0000 0.6856 1
Tc1 Tc 0.5000 0.0000 0.5931 1
```

Computed properties:
D(E_F) in states/eV/f.u.: 5.36
Energy above the lowest structure with this stoichiometry in meV per atom: 210
VASP energy in eV per atom: -5.075

---

What energy of formation from the pure elements values result from the calculations? In sequence: 5.09, 5.29, 5.18, 4.07, 5.70, 2.37 eV per formula unit.